A relaxed ThMg4Ag crystal, computed with PBE.

```
ThMg4Ag
1.0
8.589 0.000 0.000
0.000 4.294 0.000
0.000 0.000 7.763
Th Mg Ag
2 8 2
direct
0.250 0.000 0.113 Th
0.750 0.000 0.887 Th
0.000 0.000 0.500 Mg
0.055 0.500 0.812 Mg
0.250 0.500 0.444 Mg
0.445 0.500 0.812 Mg
0.500 0.000 0.500 Mg
0.555 0.500 0.188 Mg
0.750 0.500 0.556 Mg
0.945 0.500 0.188 Mg
0.250 0.000 0.710 Ag
0.750 0.000 0.290 Ag
```

Computed properties:
Fermi-level density of states   0.45 states/eV per atom
Size of the total moment   0.00 Bohr magnetons per cell
Relative energy among the computed polymorphs   0.017 eV/atom
Energy of formation from the pure elements   -0.06 eV per atom
Space-group type   Pmma